# Nd2Zn3HgAu4 PBE-GGA relaxed
# density = 11.4 g/cm3
# density of states at the Fermi level = 0.549 states/eV per atom
# energy of formation = -4.72 eV/f.u.
# magnetization = 0.00 μB/cell
data_Nd2Zn3HgAu4
_chemical_formula_sum 'Nd2 Zn3 Hg1 Au4'
_space_group_name_H-M_alt 'P -4 m 2'
_space_group_IT_number 115
_cell_length_a 4.2443
_cell_length_b 4.2443
_cell_length_c 11.9032
_cell_angle_alpha 90.00
_cell_angle_beta 90.00
_cell_angle_gamma 90.00
loop_
_space_group_symop_operation_xyz
'x,y,z'
'y,-x,-z'
'-x,-y,z'
'-y,x,-z'
'-x,y,z'
'-y,-x,-z'
'x,-y,z'
'y,x,-z'
loop_
_atom_site_label
_atom_site_type_symbol
_atom_site_fract_x
_atom_site_fract_y
_atom_site_fract_z
_atom_site_occupancy
Nd1 Nd 0.0000 0.5000 0.2399 1
Zn1 Zn 0.0000 0.5000 0.8700 1
Zn2 Zn 0.5000 0.5000 0.5000 1
Hg1 Hg 0.0000 0.0000 0.5000 1
Au1 Au 0.0000 0.0000 0.0000 1
Au2 Au 0.0000 0.5000 0.6583 1
Au3 Au 0.5000 0.5000 0.0000 1